1.
DFT (PBE) results for crystalline NaMgHg2Te at its relaxed geometry.

Excess energy over the best structure of this formula in the dataset ... 0 meV/atom

a b c (Å): 5.443 5.443 5.657
angles (deg): 90.00 90.00 90.00
Fractional positions:
1 Na 0.000 0.000 0.000
2 Mg 0.500 0.500 0.500
3 Hg 0.000 0.500 0.500
4 Hg 0.500 0.000 0.500
5 Te 0.500 0.500 0.000

---

2.
DFT (PBE) results for crystalline RbMgTlI4 at its relaxed geometry.

a b c (Å): 8.155 8.415 10.022
angles (deg): 90.00 107.61 90.00
Fractional positions:
1 Rb 0.249 0.250 0.440
2 Rb 0.751 0.750 0.560
3 Mg 0.271 0.750 0.187
4 Mg 0.729 0.250 0.813
5 Tl 0.273 0.250 0.948
6 Tl 0.727 0.750 0.052
7 I 0.072 0.750 0.914
8 I 0.078 0.750 0.368
9 I 0.496 0.003 0.244
10 I 0.496 0.497 0.244
11 I 0.504 0.503 0.756
12 I 0.504 0.997 0.756
13 I 0.922 0.250 0.632
14 I 0.928 0.250 0.086

---

3.
DFT (PBE) results for crystalline Li2UPaO8 at its relaxed geometry.

a b c (Å): 4.691 7.061 4.733
angles (deg): 90.00 90.03 90.00
Fractional positions:
1 Li 0.000 0.247 0.000
2 Li 0.000 0.753 0.000
3 U 0.500 0.000 0.500
4 Pa 0.500 0.500 0.500
5 O 0.204 0.500 0.789
6 O 0.212 0.000 0.780
7 O 0.307 0.239 0.303
8 O 0.307 0.761 0.303
9 O 0.693 0.239 0.697
10 O 0.693 0.761 0.697
11 O 0.788 0.000 0.220
12 O 0.796 0.500 0.211

---

4.
DFT (PBE) results for crystalline Cs2ZnCl6O at its relaxed geometry.

a b c (Å): 7.507 7.507 7.507
angles (deg): 123.57 123.57 83.91
Fractional positions:
1 Cs 0.250 0.750 0.500
2 Cs 0.750 0.250 0.500
3 Zn 0.000 0.000 0.000
4 Cl 0.194 0.194 0.000
5 Cl 0.283 0.283 0.567
6 Cl 0.283 0.717 0.000
7 Cl 0.717 0.283 0.000
8 Cl 0.717 0.717 0.433
9 Cl 0.806 0.806 0.000
10 O 0.500 0.500 0.000

---

5.
DFT (PBE) results for crystalline Si2PAu at its relaxed geometry.

a b c (Å): 2.651 3.462 7.341
angles (deg): 90.00 90.07 90.00
Fractional positions:
1 Si 0.000 0.000 0.232
2 Si 0.000 0.000 0.768
3 P 0.000 0.500 0.000
4 Au 0.000 0.500 0.500

---

6.
DFT (PBE) results for crystalline Tc5Ag at its relaxed geometry.

Excess energy over the best structure of this formula in the dataset ... 223 meV/atom

a b c (Å): 5.104 5.104 5.104
angles (deg): 60.00 60.00 60.00
Fractional positions:
1 Tc 0.000 0.000 0.000
2 Tc 0.376 0.376 0.376
3 Tc 0.376 0.376 0.873
4 Tc 0.376 0.873 0.376
5 Tc 0.873 0.376 0.376
6 Ag 0.750 0.750 0.750

---

7.
DFT (PBE) results for crystalline KNaTc2 at its relaxed geometry.

Excess energy over the best structure of this formula in the dataset ... 0 meV/atom

a b c (Å): 11.966 11.966 11.966
angles (deg): 161.56 161.56 26.20
Fractional positions:
1 K 0.000 0.000 0.000
2 K 0.750 0.250 0.500
3 Na 0.250 0.750 0.500
4 Na 0.500 0.500 0.000
5 Tc 0.189 0.625 0.064
6 Tc 0.375 0.439 0.564
7 Tc 0.561 0.125 0.936
8 Tc 0.875 0.811 0.436

---

8.
DFT (PBE) results for crystalline CoTcRh2 at its relaxed geometry.

Excess energy over the best structure of this formula in the dataset ... 40 meV/atom

a b c (Å): 4.638 4.638 4.614
angles (deg): 99.53 99.53 33.45
Fractional positions:
1 Co 0.000 0.000 0.000
2 Tc 0.500 0.500 0.500
3 Rh 0.252 0.252 0.753
4 Rh 0.748 0.748 0.247

---

9.
DFT (PBE) results for crystalline CoNiP4 at its relaxed geometry.

Excess energy over the best structure of this formula in the dataset ... 1051 meV/atom

a b c (Å): 4.866 4.866 4.866
angles (deg): 60.00 60.00 60.00
Fractional positions:
1 Co 0.000 0.000 0.000
2 Ni 0.750 0.750 0.750
3 P 0.374 0.374 0.374
4 P 0.374 0.374 0.877
5 P 0.374 0.877 0.374
6 P 0.877 0.374 0.374

---

10.
DFT (PBE) results for crystalline La2NiGeH at its relaxed geometry.

Excess energy over the best structure of this formula in the dataset ... 0 meV/atom

a b c (Å): 6.269 4.213 8.256
angles (deg): 90.00 106.89 90.00
Fractional positions:
1 La 0.226 0.250 0.410
2 La 0.246 0.250 0.968
3 La 0.754 0.750 0.032
4 La 0.774 0.750 0.590
5 Ni 0.450 0.750 0.240
6 Ni 0.550 0.250 0.760
7 Ge 0.327 0.750 0.706
8 Ge 0.673 0.250 0.294
9 H 0.179 0.750 0.173
10 H 0.821 0.250 0.827

---

11.
DFT (PBE) results for crystalline CaNiPt2 at its relaxed geometry.

a b c (Å): 3.275 3.275 6.600
angles (deg): 90.00 90.00 90.00
Fractional positions:
1 Ca 0.000 0.000 0.000
2 Ni 0.500 0.500 0.313
3 Pt 0.000 0.000 0.456
4 Pt 0.500 0.500 0.712

---

12.
DFT (PBE) results for crystalline LiCu2MoAu at its relaxed geometry.

a b c (Å): 4.098 4.098 4.315
angles (deg): 90.00 90.00 90.00
Fractional positions:
1 Li 0.000 0.000 0.000
2 Cu 0.000 0.500 0.000
3 Cu 0.500 0.000 0.000
4 Mo 0.500 0.500 0.500
5 Au 0.000 0.000 0.500

---

13.
DFT (PBE) results for crystalline CaInBr2 at its relaxed geometry.

Excess energy over the best structure of this formula in the dataset ... 360 meV/atom

a b c (Å): 6.914 6.914 6.914
angles (deg): 142.65 142.65 53.85
Fractional positions:
1 Ca 0.000 0.000 0.000
2 In 0.250 0.750 0.500
3 Br 0.500 0.500 0.000
4 Br 0.750 0.250 0.500

---

14.
DFT (PBE) results for crystalline Mn2CuRh at its relaxed geometry.

a b c (Å): 4.842 4.842 4.344
angles (deg): 107.95 107.95 35.57
Fractional positions:
1 Mn 0.000 0.000 0.000
2 Mn 0.238 0.238 0.650
3 Cu 0.495 0.495 0.499
4 Rh 0.745 0.745 0.154

---

15.
DFT (PBE) results for crystalline La4TlH at its relaxed geometry.

a b c (Å): 9.260 9.260 6.064
angles (deg): 102.95 102.95 127.66
Fractional positions:
1 La 0.093 0.662 0.895
2 La 0.158 0.287 0.618
3 La 0.287 0.158 0.118
4 La 0.338 0.907 0.605
5 La 0.662 0.093 0.395
6 La 0.713 0.842 0.882
7 La 0.842 0.713 0.382
8 La 0.907 0.338 0.105
9 Tl 0.397 0.603 0.250
10 Tl 0.603 0.397 0.750
11 H 0.013 0.987 0.250
12 H 0.987 0.013 0.750

---

16.
DFT (PBE) results for crystalline Ba2BeSiPd6 at its relaxed geometry.

a b c (Å): 6.558 6.571 6.634
angles (deg): 60.57 60.53 60.48
Fractional positions:
1 Ba 0.211 0.211 0.366
2 Ba 0.789 0.789 0.634
3 Be 0.000 0.000 0.000
4 Si 0.500 0.500 0.500
5 Pd 0.243 0.669 0.843
6 Pd 0.245 0.243 0.842
7 Pd 0.331 0.755 0.158
8 Pd 0.669 0.245 0.842
9 Pd 0.755 0.757 0.158
10 Pd 0.757 0.331 0.157

---

17.
DFT (PBE) results for crystalline TbErGePd at its relaxed geometry.

Excess energy over the best structure of this formula in the dataset ... 81 meV/atom

a b c (Å): 5.001 5.001 5.001
angles (deg): 60.00 60.00 60.00
Fractional positions:
1 Tb 0.000 0.000 0.000
2 Er 0.500 0.500 0.500
3 Ge 0.250 0.250 0.250
4 Pd 0.750 0.750 0.750

---

18.
DFT (PBE) results for crystalline Ti5MnNi4 at its relaxed geometry.

a b c (Å): 3.009 3.009 14.949
angles (deg): 90.00 90.00 90.00
Fractional positions:
1 Ti 0.000 0.000 0.000
2 Ti 0.000 0.000 0.201
3 Ti 0.000 0.000 0.405
4 Ti 0.000 0.000 0.595
5 Ti 0.000 0.000 0.799
6 Mn 0.500 0.500 0.500
7 Ni 0.500 0.500 0.105
8 Ni 0.500 0.500 0.301
9 Ni 0.500 0.500 0.699
10 Ni 0.500 0.500 0.895

---

19.
DFT (PBE) results for crystalline CsK2GaBi2 at its relaxed geometry.

a b c (Å): 9.452 9.452 9.452
angles (deg): 117.57 82.84 131.44
Fractional positions:
1 Cs 0.250 0.250 0.000
2 Cs 0.750 0.750 0.000
3 K 0.177 0.664 0.841
4 K 0.323 0.164 0.487
5 K 0.677 0.836 0.513
6 K 0.823 0.336 0.159
7 Ga 0.250 0.750 0.500
8 Ga 0.750 0.250 0.500
9 Bi 0.092 0.327 0.419
10 Bi 0.408 0.827 0.235
11 Bi 0.592 0.173 0.765
12 Bi 0.908 0.673 0.581

---

The records above give, respectively, ρ values of 5.71 4.16 6.47 3.31 7.00 10.56 5.00 11.18 4.92 6.53 11.47 9.78 4.32 8.19 7.13 7.71 9.49 6.49 4.30 g/cm3.
The records above give, respectively, N(E_F) values of 2.26 0.00 9.47 0.00 0.90 4.41 11.17 5.55 4.50 7.62 2.40 3.90 2.44 2.90 13.40 2.55 1.53 13.16 4.14 states/eV per cell.
The records above give, respectively, energy values of -7.8 -37.1 -92.4 -28.0 -18.8 -52.1 -36.5 -32.1 -29.9 -53.6 -20.7 -20.4 -11.8 -29.5 -53.7 -49.9 -22.2 -75.3 -31.6 eV per cell.